Record 1
# SrAl2Pb

A geometry-optimized SrAl2Pb structure (GGA-PBE, Alexandria).

Cell lengths 9.6113, 9.6113, 9.6113 Å; angles 22.97, 22.97, 22.97 degrees
Closest atoms and distances in Å follow each position.
Fractional positions:
1 Al 0.5079 0.5079 0.5079  3 Pb 3.06, 3 Sr 3.38
2 Al 0.9921 0.9921 0.9921  3 Pb 3.06, 3 Sr 3.38
3 Sr 0.7500 0.7500 0.7500  6 Al 3.38
4 Pb 0.2500 0.2500 0.2500  6 Al 3.06

total magnetic moment = 0.00 μB per formula unit
E_form = 0.23 eV per atom

---

Record 2
# SrAl2Pb

A geometry-optimized SrAl2Pb structure (GGA-PBE, Alexandria).

Cell lengths 5.3123, 5.3123, 5.3123 Å; angles 60.00, 60.00, 60.00 degrees
Closest atoms and distances in Å follow each position.
Fractional positions:
1 Al 0.2500 0.2500 0.2500  4 Pb 3.25, 4 Al 3.25
2 Al 0.0000 0.0000 0.0000  4 Al 3.25, 4 Sr 3.25
3 Pb 0.5000 0.5000 0.5000  4 Sr 3.25, 4 Al 3.25
4 Sr 0.7500 0.7500 0.7500  4 Pb 3.25, 4 Al 3.25

total magnetic moment = 0.00 μB per formula unit
E_form = 0.06 eV per atom

---

Record 3
# SrAl4Pb

A geometry-optimized SrAl4Pb structure (GGA-PBE, Alexandria).

Cell lengths 5.8012, 5.8012, 5.8012 Å; angles 60.00, 60.00, 60.00 degrees
Closest atoms and distances in Å follow each position.
Fractional positions:
1 Pb 0.7500 0.7500 0.7500  12 Al 3.40, 4 Sr 3.55
2 Al 0.3760 0.3760 0.3760  6 Al 2.88-2.92
3 Al 0.3760 0.8722 0.3760  6 Al 2.88-2.92
4 Al 0.8722 0.3760 0.3760  6 Al 2.88-2.92
5 Al 0.3760 0.3760 0.8722  6 Al 2.88-2.92
6 Sr 0.0000 0.0000 0.0000  12 Al 3.40, 4 Pb 3.55

total magnetic moment = 0.00 μB per formula unit
E_form = -0.05 eV per atom

---

Question: E_form of number 3 (SrAl4Pb)?
Answer: -0.05 eV per atom